Entry 1:
Computed, not measured: crystalline LiTb2PuO6 at its relaxed geometry at the PBE level of DFT.

Formation energy (no corrections) in eV/atom: -2.988
Volume in A^3/atom: 14.34
Space-group type: R3
Theoretical density in kg/m3: 7700
E in eV per atom: -8.51

extended XYZ file:
```
10
Lattice="-4.5128 0.7662 3.4847 -5.1989 -1.9017 -1.5655 -2.2900 -4.7735 2.8329" Properties=species:S:1:pos:R:3 pbc="T T T"
Li -9.1461 -3.7582 3.2283
Tb -6.0858 -2.5605 2.1794
Tb -2.3551 -4.4719 2.6823
Pu -3.1935 -0.5814 0.7409
O -4.3748 -1.1123 2.4496
O -6.4216 -2.7961 -0.0408
O -7.9326 -1.5857 3.0379
O -7.2335 -4.6471 2.5483
O -5.5186 -3.3639 4.3794
O -4.4955 -4.3562 1.9485
```


Entry 2:
Computed, not measured: crystalline CaMgRe2 at its relaxed geometry at the PBE level of DFT.

Volume in A^3/atom: 21.67
Space-group type: Cm
Energy of formation from the pure elements in meV per atom: 441
Theoretical density in kg/m3: 8369
E in eV per atom: -6.68

extended XYZ file:
```
4
Lattice="-4.3616 -0.6763 -0.3970 -2.7249 -2.8586 -2.0105 -0.5821 -4.2192 5.1161" Properties=species:S:1:pos:R:3 pbc="T T T"
Ca -3.7848 -3.9709 1.5315
Mg -2.0022 -1.7242 0.3010
Re -0.6287 -4.0580 4.8508
Re -5.6695 -6.0974 2.4957
```


Entry 3:
Computed, not measured: crystalline HfPaBeO6 at its relaxed geometry at the PBE level of DFT.

Formation energy (no corrections) in eV/atom: -2.861
Volume in A^3/atom: 11.84
Space-group type: P312
Theoretical density in kg/m3: 8018
E in eV per atom: -8.74

extended XYZ file:
```
9
Lattice="-2.9627 0.4544 -3.7444 -0.3078 -5.0421 -0.3683 -3.2852 2.5322 2.9067" Properties=species:S:1:pos:R:3 pbc="T T T"
Hf -2.7817 -2.2902 -1.1488
Pa -2.2928 0.0074 1.8150
Be -1.4814 0.2272 -1.8722
O -4.6460 -1.4082 -0.9682
O -2.2522 -1.2186 -2.8393
O -3.4744 -3.9328 -2.2016
O -1.9095 -0.6482 -0.2382
O -1.0191 -3.3692 -1.2728
O -3.3888 -3.1641 0.6271
```


Entry 4:
Computed, not measured: crystalline Zr5Co at its relaxed geometry at the PBE level of DFT.

Relative energy among the computed polymorphs in eV per atom: 0.627
Volume in A^3/atom: 22.13
Space-group type: F-43m
Energy of formation from the pure elements in meV per atom: 547
Theoretical density in kg/m3: 6443
E in eV per atom: -7.76

extended XYZ file:
```
6
Lattice="0.0000 4.0489 4.0489 4.0489 0.0000 4.0489 4.0489 4.0489 0.0000" Properties=species:S:1:pos:R:3 pbc="T T T"
Zr 3.0416 5.0562 5.0562
Zr 6.0733 6.0733 6.0733
Zr 5.0562 3.0416 5.0562
Zr 3.0416 3.0416 3.0416
Zr 5.0562 5.0562 3.0416
Co 0.0000 0.0000 0.0000
```


Entry 5:
Computed, not measured: crystalline TbDyHo2Tm2 at its relaxed geometry at the PBE level of DFT.

Volume in A^3/atom: 31.65
Space-group type: Pnnm
Energy of formation from the pure elements in meV per atom: 285
Theoretical density in kg/m3: 8649
E in eV per atom: -4.27

extended XYZ file:
```
12
Lattice="3.3487 0.0000 0.0000 0.0000 6.5181 0.0000 0.0000 0.0000 17.4022" Properties=species:S:1:pos:R:3 pbc="T T T"
Tb 0.0000 0.0000 0.0000
Tb 1.6743 3.2591 8.7011
Dy 1.6743 3.2591 0.0000
Dy 0.0000 0.0000 8.7011
Ho 1.6743 1.5012 6.0959
Ho 0.0000 4.7602 2.6052
Ho 1.6743 5.0169 11.3064
Ho 0.0000 1.7579 14.7970
Tm 1.6743 4.7740 5.5506
Tm 1.6743 1.7442 11.8517
Tm 0.0000 5.0032 14.2517
Tm 0.0000 1.5149 3.1505
```


Entry 6:
Computed, not measured: crystalline TlAg2Sb at its relaxed geometry at the PBE level of DFT.

Formation energy (no corrections) in eV/atom: 0.144
Volume in A^3/atom: 23.17
Space-group type: P4/mmm
Theoretical density in kg/m3: 9707
E in eV per atom: -2.90

extended XYZ file:
```
4
Lattice="4.0457 0.0000 0.0000 0.0000 4.7866 0.0000 0.0000 0.0000 4.7866" Properties=species:S:1:pos:R:3 pbc="T T T"
Sb 2.0229 2.3933 2.3933
Tl 2.0229 0.0000 0.0000
Ag 0.0000 0.0000 2.3933
Ag 0.0000 2.3933 0.0000
```


Entry 7:
Computed, not measured: crystalline Mg2BiPbCl at its relaxed geometry at the PBE level of DFT.

Formation energy (no corrections) in eV/atom: 0.179
Volume in A^3/atom: 34.77
Space-group type: P4/mmm
Theoretical density in kg/m3: 4778
E in eV per atom: -2.35

extended XYZ file:
```
5
Lattice="-1.5853 -4.2760 -3.2360 5.0439 -0.1019 -2.3363 1.7376 -3.6020 3.9084" Properties=species:S:1:pos:R:3 pbc="T T T"
Pb 2.5981 -3.9900 -0.8320
Mg 0.8688 -1.8010 1.9542
Mg -0.7927 -2.1380 -1.6180
Bi 0.0000 0.0000 0.0000
Cl 2.5219 -0.0510 -1.1682
```